# ErSc6Co2 | Alexandria | PBE | optimized geometry
# DFT total energy = -6.404 eV/atom
# Total moment = 0.00 μB per atom
# ΔH_f (0 K) = -0.87 eV per formula unit
# D(E_F) = 12.4 states/eV/f.u.
data_ErSc6Co2
_space_group_name_H-M_alt 'I m m m'
_space_group_IT_number 71
_space_group_name_Hall '-I 2 2'
_cell_length_a 8.8818
_cell_length_b 9.2514
_cell_length_c 9.4067
_cell_angle_alpha 90.00
_cell_angle_beta 90.00
_cell_angle_gamma 90.00
loop_
_atom_site_label
_atom_site_fract_x
_atom_site_fract_y
_atom_site_fract_z
Er1 0.0000 0.0000 0.0000
Er2 0.0000 0.0000 0.5000
Sc1 0.0000 0.2264 0.2406
Sc2 0.1923 0.5000 0.1839
Sc3 0.2140 0.3101 0.5000
Co1 0.0000 0.3272 0.0000
Co2 0.0000 0.5000 0.3817

=====

# ErSc2Co3 | Alexandria | PBE | optimized geometry
# DFT total energy = -6.711 eV/atom
# Total moment = 0.13 μB per atom
# ΔH_f (0 K) = -1.72 eV per formula unit
# D(E_F) = 2.9 states/eV/f.u.
data_ErSc2Co3
_space_group_name_H-M_alt 'P 4/m m m'
_space_group_IT_number 123
_space_group_name_Hall '-P 4 2'
_cell_length_a 3.1960
_cell_length_b 3.1960
_cell_length_c 9.4736
_cell_angle_alpha 90.00
_cell_angle_beta 90.00
_cell_angle_gamma 90.00
loop_
_atom_site_label
_atom_site_fract_x
_atom_site_fract_y
_atom_site_fract_z
Er1 0.0000 0.0000 0.0000
Sc1 0.0000 0.0000 0.3384
Co1 0.5000 0.5000 0.1802
Co2 0.5000 0.5000 0.5000